This record from the Alexandria database describes a geometry-optimized MgCo2Sb structure. The functional is PBE.

a = 6.863 Å, b = 6.863 Å, c = 5.628 Å
α = 52.43°, β = 52.43°, γ = 90.00°
Positions (direct):
Sb 0.000 0.000 0.000
Sb 0.750 0.250 0.500
Mg 0.500 0.500 0.000
Mg 0.250 0.750 0.500
Co 0.647 0.125 0.250
Co 0.103 0.625 0.250
Co 0.375 0.353 0.750
Co 0.875 0.897 0.750

Values from the calculation:
Space-group type   No. 122
Crystal system   tetragonal
Formation energy without anion corrections   467 meV/atom
Total magnetic moment   0.00 μB/atom